A plane-wave DFT calculation with PBE was carried out for an optimized crystal structure of K2USe4.

The structure in POSCAR format:
```
K2USe4
1.0
-6.107 -3.127 3.434
4.597 -4.883 3.728
2.201 14.917 8.927
K U Se
8 4 16
Direct
0.929 0.429 0.857 K
0.179 0.179 0.357 K
0.321 0.321 0.643 K
0.071 0.571 0.143 K
0.679 0.679 0.357 K
0.429 0.929 0.857 K
0.571 0.071 0.143 K
0.821 0.821 0.643 K
0.250 0.750 0.500 U
0.500 0.500 0.000 U
0.000 0.000 0.000 U
0.750 0.250 0.500 U
0.578 0.578 0.156 Se
0.328 0.828 0.656 Se
0.672 0.172 0.344 Se
0.922 0.922 0.844 Se
0.172 0.672 0.344 Se
0.422 0.422 0.844 Se
0.078 0.078 0.156 Se
0.828 0.328 0.656 Se
0.497 0.497 0.500 Se
0.753 0.747 0.000 Se
0.247 0.253 0.000 Se
0.003 0.003 0.500 Se
0.747 0.247 0.000 Se
0.503 0.997 0.500 Se
0.997 0.503 0.500 Se
0.253 0.753 0.000 Se
```

Summary:
Space group   No. 142
Magnetization   0.08 μB per formula unit
Formation energy without anion corrections   -1.13 eV per atom
Fermi-level density of states   3.24 states/eV/cell



A plane-wave DFT calculation with PBE was carried out for an optimized crystal structure of CdCo3Mo.

The structure in POSCAR format:
```
CdCo3Mo
1.0
4.427 0.000 0.000
0.000 4.427 0.000
0.000 0.000 4.427
Mo Co Cd
1 3 1
Direct
0.000 0.000 0.000 Mo
0.000 0.500 0.000 Co
0.000 0.000 0.500 Co
0.500 0.000 0.000 Co
0.500 0.500 0.500 Cd
```

Summary:
Space group   No. 221
Magnetization   0.00 μB per formula unit
DFT formation energy   6.260 eV per formula unit
Fermi-level density of states   5.03 states/eV/cell



A plane-wave DFT calculation with PBE was carried out for an optimized crystal structure of GeSbMoW.

The structure in POSCAR format:
```
GeSbMoW
1.0
3.428 0.000 0.000
0.000 3.626 0.000
0.000 0.000 11.732
Ge Sb Mo W
2 2 2 2
Direct
0.000 0.500 0.671 Ge
0.500 0.000 0.171 Ge
0.000 0.000 0.920 Sb
0.500 0.500 0.420 Sb
0.000 0.000 0.514 Mo
0.500 0.500 0.014 Mo
0.000 0.500 0.235 W
0.500 0.000 0.735 W
```

Summary:
Space group   No. 44
Magnetization   0.00 μB per formula unit
Formation energy without anion corrections   0.27 eV per atom
Fermi-level density of states   3.88 states/eV/cell



A plane-wave DFT calculation with PBE was carried out for an optimized crystal structure of SnBiO4.

The structure in POSCAR format:
```
SnBiO4
1.0
6.247 0.017 0.000
3.421 5.227 0.000
-4.834 -2.622 2.964
Sn Bi O
1 1 4
Direct
0.750 0.250 0.500 Sn
0.000 0.000 0.000 Bi
0.941 0.441 0.500 O
0.209 0.209 0.000 O
0.791 0.791 0.000 O
0.559 0.059 0.500 O
```

Summary:
Space group   No. 119
Magnetization   0.00 μB per formula unit
Formation energy without anion corrections   -1.23 eV per atom
Fermi-level density of states   1.63 states/eV/cell



A plane-wave DFT calculation with PBE was carried out for an optimized crystal structure of Sb2RhIF.

The structure in POSCAR format:
```
Sb2RhIF
1.0
-2.014 -2.242 -3.505
4.090 -0.357 -2.122
0.912 -4.841 2.572
I Sb Rh F
1 2 1 1
Direct
0.000 0.000 0.500 I
0.000 0.500 0.000 Sb
0.500 0.000 0.000 Sb
0.500 0.500 0.500 Rh
0.000 0.000 0.000 F
```

Summary:
Space group   No. 123
Magnetization   0.00 μB per formula unit
Formation energy without anion corrections   0.31 eV per atom
Fermi-level density of states   4.19 states/eV/cell



A plane-wave DFT calculation with PBE was carried out for an optimized crystal structure of CsNpW2S8.

The structure in POSCAR format:
```
CsNpW2S8
1.0
6.553 0.000 0.000
3.276 5.675 0.000
3.276 1.892 9.796
Cs Np W S
1 1 2 8
Direct
0.500 0.500 0.500 Cs
0.000 0.000 0.000 Np
0.254 0.254 0.237 W
0.746 0.746 0.763 W
0.180 0.180 0.459 S
0.601 0.277 0.169 S
0.820 0.820 0.541 S
0.952 0.601 0.169 S
0.048 0.399 0.831 S
0.277 0.952 0.169 S
0.723 0.048 0.831 S
0.399 0.723 0.831 S
```

Summary:
Space group   No. 148
Magnetization   4.00 μB per formula unit
Formation energy without anion corrections   -0.74 eV per atom
Fermi-level density of states   7.53 states/eV/cell



A plane-wave DFT calculation with PBE was carried out for an optimized crystal structure of LiLaS2.

The structure in POSCAR format:
```
LiLaS2
1.0
4.125 0.000 0.000
2.063 3.573 0.000
2.063 1.191 6.770
Li La S
1 1 2
Direct
0.483 0.483 0.550 Li
0.669 0.669 0.992 La
0.087 0.087 0.739 S
0.260 0.260 0.219 S
```

Summary:
Space group   No. 160
Magnetization   0.00 μB per formula unit
Formation energy without anion corrections   -1.75 eV per atom
Fermi-level density of states   0.00 states/eV/cell



A plane-wave DFT calculation with PBE was carried out for an optimized crystal structure of Bi3TeH.

The structure in POSCAR format:
```
Bi3TeH
1.0
5.023 0.000 0.000
0.000 5.023 0.000
0.000 0.000 5.023
H Te Bi
1 1 3
Direct
0.000 0.000 0.000 H
0.500 0.500 0.500 Te
0.000 0.500 0.000 Bi
0.000 0.000 0.500 Bi
0.500 0.000 0.000 Bi
```

Summary:
Space group   No. 221
Magnetization   0.00 μB per formula unit
VASP energy   -16.13 eV per cell
Fermi-level density of states   4.29 states/eV/cell